ErMg2Ga2 (PBE-GGA, relaxed); M_tot = 0.0 μB/f.u.; energy of formation from the pure elements = -0.290 eV/atom
1.0
4.9327 0.0000 0.0000
0.0000 3.6691 0.0000
-1.0276 0.0000 11.8799
Er Mg Ga
2 4 4
direct
0.1827 0.2500 0.2413
0.8173 0.7500 0.7587
0.2444 0.7500 0.4784
0.3372 0.2500 0.8826
0.6628 0.7500 0.1174
0.7556 0.2500 0.5216
0.1569 0.7500 0.0355
0.2872 0.2500 0.6589
0.7128 0.7500 0.3411
0.8431 0.2500 0.9645